Computed, not measured: SrWN3 after structural relaxation at the PBE level of DFT.

abc: 7.1926 5.7246 7.5755
angles: 90.00 113.53 90.00
Sites, in units of the cell vectors:
Sr1 0.1585 0.2297 0.1307
Sr2 0.1585 0.2703 0.6307
Sr3 0.8415 0.7297 0.3693
Sr4 0.8415 0.7703 0.8693
W1 0.3794 0.7064 0.3719
W2 0.3794 0.7936 0.8719
W3 0.6206 0.2064 0.1281
W4 0.6206 0.2936 0.6281
N1 0.1142 0.6515 0.2269
N2 0.1142 0.8485 0.7269
N3 0.3910 0.0201 0.4706
N4 0.3910 0.4799 0.9706
N5 0.4462 0.5752 0.6403
N6 0.4462 0.9248 0.1403
N7 0.5538 0.0752 0.8597
N8 0.5538 0.4248 0.3597
N9 0.6090 0.5201 0.0294
N10 0.6090 0.9799 0.5294
N11 0.8858 0.1515 0.2731
N12 0.8858 0.3485 0.7731

Output
* magnetic moment: 0.00 μB/f.u.
* DOS at the Fermi energy: 0.00 states/eV/cell
* SG: P2_1/c
* raw formation energy: -0.49 eV/atom

Computed, not measured: SrWN2 after structural relaxation at the PBE level of DFT.

abc: 7.0187 7.0187 7.0187
angles: 26.81 26.81 26.81
Sites, in units of the cell vectors:
Sr1 0.0000 0.0000 0.0000
W1 0.5000 0.5000 0.5000
N1 0.1192 0.1192 0.1192
N2 0.8808 0.8808 0.8808

Output
* magnetic moment: 0.00 μB/f.u.
* DOS at the Fermi energy: 2.90 states/eV/cell
* SG: R-3m
* raw formation energy: 0.07 eV/atom

Computed, not measured: SrWN3 after structural relaxation at the PBE level of DFT.

abc: 7.5006 7.5006 7.5006
angles: 60.00 60.00 60.00
Sites, in units of the cell vectors:
Sr1 0.0000 0.0000 0.0000
Sr2 0.0000 0.0000 0.5000
Sr3 0.0000 0.5000 0.0000
Sr4 0.5000 0.0000 0.0000
W1 0.0000 0.5000 0.5000
W2 0.5000 0.0000 0.5000
W3 0.5000 0.5000 0.0000
W4 0.5000 0.5000 0.5000
N1 0.1815 0.1815 0.5685
N2 0.1815 0.5685 0.1815
N3 0.1815 0.5685 0.5685
N4 0.4315 0.4315 0.8185
N5 0.4315 0.8185 0.4315
N6 0.4315 0.8185 0.8185
N7 0.5685 0.1815 0.1815
N8 0.5685 0.1815 0.5685
N9 0.5685 0.5685 0.1815
N10 0.8185 0.4315 0.4315
N11 0.8185 0.4315 0.8185
N12 0.8185 0.8185 0.4315

Output
* magnetic moment: 0.17 μB/f.u.
* DOS at the Fermi energy: 23.39 states/eV/cell
* SG: Fd-3m
* raw formation energy: -0.15 eV/atom

Computed, not measured: SrWN3 after structural relaxation at the PBE level of DFT.

abc: 7.2258 7.2258 5.3418
angles: 94.84 94.84 34.86
Sites, in units of the cell vectors:
Sr1 0.1612 0.1612 0.2215
Sr2 0.8388 0.8388 0.7785
W1 0.4171 0.4171 0.3428
W2 0.5829 0.5829 0.6572
N1 0.0118 0.3247 0.7320
N2 0.3247 0.0118 0.7320
N3 0.4452 0.4452 0.7192
N4 0.5548 0.5548 0.2808
N5 0.6753 0.9882 0.2680
N6 0.9882 0.6753 0.2680

Output
* magnetic moment: 0.00 μB/f.u.
* DOS at the Fermi energy: 3.27 states/eV/cell
* SG: C2/m
* raw formation energy: -0.43 eV/atom

Computed, not measured: SrWN3 after structural relaxation at the PBE level of DFT.

abc: 7.6615 7.6615 5.2372
angles: 91.16 91.16 89.40
Sites, in units of the cell vectors:
Sr1 0.1096 0.3134 0.3365
Sr2 0.3134 0.1096 0.8365
Sr3 0.6866 0.8904 0.1635
Sr4 0.8904 0.6866 0.6635
W1 0.2396 0.7604 0.2500
W2 0.4118 0.5882 0.7500
W3 0.5882 0.4118 0.2500
W4 0.7604 0.2396 0.7500
N1 0.0143 0.7652 0.1245
N2 0.1988 0.6066 0.5506
N3 0.2348 0.9857 0.3755
N4 0.3330 0.4587 0.0546
N5 0.3934 0.8012 0.9494
N6 0.4587 0.3330 0.5546
N7 0.5413 0.6670 0.4454
N8 0.6066 0.1988 0.0506
N9 0.6670 0.5413 0.9454
N10 0.7652 0.0143 0.6245
N11 0.8012 0.3934 0.4494
N12 0.9857 0.2348 0.8755

Output
* magnetic moment: 1.00 μB/f.u.
* DOS at the Fermi energy: 6.12 states/eV/cell
* SG: C2/c
* raw formation energy: -0.35 eV/atom

Computed, not measured: SrWN3 after structural relaxation at the PBE level of DFT.

abc: 3.7845 6.2590 6.4086
angles: 96.94 90.81 91.88
Sites, in units of the cell vectors:
Sr1 0.0000 0.0000 0.0000
Sr2 0.0059 0.4029 0.6467
W1 0.4757 0.9552 0.4642
W2 0.5255 0.4684 0.1943
N1 0.0209 0.4772 0.0685
N2 0.2797 0.6184 0.9752
N3 0.4938 0.1023 0.7276
N4 0.5132 0.6236 0.4578
N5 0.5271 0.1842 0.2597
N6 0.9964 0.9302 0.3926

Output
* magnetic moment: 0.00 μB/f.u.
* DOS at the Fermi energy: 0.00 states/eV/cell
* SG: P1
* raw formation energy: -0.57 eV/atom

Computed, not measured: SrW2N after structural relaxation at the PBE level of DFT.

abc: 6.3021 6.3021 6.3021
angles: 60.00 60.00 60.00
Sites, in units of the cell vectors:
Sr1 0.1250 0.1250 0.1250
Sr2 0.8750 0.8750 0.8750
W1 0.0000 0.5000 0.5000
W2 0.5000 0.0000 0.5000
W3 0.5000 0.5000 0.0000
W4 0.5000 0.5000 0.5000
N1 0.3750 0.3750 0.3750
N2 0.6250 0.6250 0.6250

Output
* magnetic moment: 0.00 μB/f.u.
* DOS at the Fermi energy: 3.95 states/eV/cell
* SG: Fd-3m
* raw formation energy: 0.56 eV/atom

Computed, not measured: SrWN3 after structural relaxation at the PBE level of DFT.

abc: 4.0176 5.9342 6.6353
angles: 85.18 85.99 75.16
Sites, in units of the cell vectors:
Sr1 0.0000 0.0000 0.0000
Sr2 0.2524 0.4212 0.3474
W1 0.6633 0.5619 0.7678
W2 0.8727 0.9730 0.5392
N1 0.1358 0.6445 0.6894
N2 0.2652 0.9586 0.3568
N3 0.5524 0.9195 0.7672
N4 0.5988 0.9361 0.3203
N5 0.6942 0.4397 0.0254
N6 0.7702 0.3049 0.5862

Output
* magnetic moment: 0.00 μB/f.u.
* DOS at the Fermi energy: 0.00 states/eV/cell
* SG: P1
* raw formation energy: -0.55 eV/atom

Computed, not measured: SrWN3 after structural relaxation at the PBE level of DFT.

abc: 3.6113 3.6113 13.3830
angles: 90.00 90.00 120.00
Sites, in units of the cell vectors:
Sr1 0.0000 0.0000 0.0000
Sr2 0.0000 0.0000 0.5000
W1 0.3333 0.6667 0.2500
W2 0.6667 0.3333 0.7500
N1 0.0000 0.0000 0.2500
N2 0.0000 0.0000 0.7500
N3 0.3333 0.6667 0.1082
N4 0.3333 0.6667 0.3918
N5 0.6667 0.3333 0.6082
N6 0.6667 0.3333 0.8918

Output
* magnetic moment: 1.05 μB/f.u.
* DOS at the Fermi energy: 3.99 states/eV/cell
* SG: P6_3/mmc
* raw formation energy: -0.04 eV/atom

Computed, not measured: SrWN3 after structural relaxation at the PBE level of DFT.

abc: 11.9789 11.9789 11.9789
angles: 163.16 163.16 23.90
Sites, in units of the cell vectors:
Sr1 0.0000 0.0000 0.0000
Sr2 0.7500 0.2500 0.5000
W1 0.1308 0.6308 0.5000
W2 0.3692 0.8692 0.5000
N1 0.3263 0.3263 0.0000
N2 0.4140 0.0998 0.3143
N3 0.6737 0.6737 0.0000
N4 0.7855 0.0998 0.6857
N5 0.9002 0.2145 0.3143
N6 0.9002 0.5860 0.6857

Output
* magnetic moment: 0.00 μB/f.u.
* DOS at the Fermi energy: 7.64 states/eV/cell
* SG: I-4m2
* raw formation energy: -0.02 eV/atom

Computed, not measured: Sr5WN6 after structural relaxation at the PBE level of DFT.

abc: 6.2796 6.2796 6.2107
angles: 99.70 99.70 120.11
Sites, in units of the cell vectors:
Sr1 0.0000 0.0000 0.0000
Sr2 0.1667 0.8333 0.5000
Sr3 0.3390 0.6610 0.0000
Sr4 0.6610 0.3390 0.0000
Sr5 0.8333 0.1667 0.5000
W1 0.5000 0.5000 0.5000
N1 0.1559 0.4287 0.2874
N2 0.2964 0.2964 0.7074
N3 0.4287 0.1559 0.2874
N4 0.5713 0.8441 0.7126
N5 0.7036 0.7036 0.2926
N6 0.8441 0.5713 0.7126

Output
* magnetic moment: 2.07 μB/f.u.
* DOS at the Fermi energy: 8.61 states/eV/cell
* SG: C2/m
* raw formation energy: -0.51 eV/atom

Computed, not measured: SrWN3 after structural relaxation at the PBE level of DFT.

abc: 3.6354 6.5176 6.5510
angles: 76.40 84.01 85.63
Sites, in units of the cell vectors:
Sr1 0.0000 0.0000 0.0000
Sr2 0.0771 0.5576 0.7013
W1 0.4885 0.4898 0.1713
W2 0.5732 0.0073 0.4881
N1 0.0857 0.9352 0.3969
N2 0.3971 0.8180 0.3187
N3 0.4822 0.3112 0.4502
N4 0.5274 0.8685 0.7621
N5 0.5333 0.3248 0.9784
N6 0.9779 0.5991 0.1216

Output
* magnetic moment: 0.00 μB/f.u.
* DOS at the Fermi energy: 0.00 states/eV/cell
* SG: P1
* raw formation energy: -0.57 eV/atom